Density functional theory data (PBE+U) for Cs2PdWF6 after structural relaxation.

For the total magnetization, the calculation gives 4.0 μB/f.u. As for the electronic total energy: -4.81 eV per atom.

The structure belongs to space group I4/mmm (No. 139); the cell edges are 6.197, 6.197 and 10.423 Å and the angles 90.00°, 90.00° and 90.00°. The distinct sites, in fractional coordinates, are Cs at (0.000, 0.500, 0.250), Pd at (0.000, 0.000, 0.000), W at (0.000, 0.000, 0.500), F at (0.000, 0.000, 0.298) and F at (0.243, 0.243, 0.500).